Entry 1:
# Li2MnTl

A relaxed structure of Li2MnTl (GGA-PBE, the Alexandria database).

## Properties
DFT formation energy = 0.309 eV per atom
DOS at the Fermi energy = 4.6 states/eV/cell
SG = I-42d
energy = -14.1 eV per formula unit

Cell lengths 7.4823, 7.4823, 5.9631 Å; angles 51.14, 51.14, 90.00 degrees
Closest atoms and distances in Å follow each position.
Element x y z (fractional)
1 Tl 0.0000 0.0000 0.0000  2 Mn 2.75, 4 Li 2.76
2 Tl 0.7500 0.2500 0.5000  2 Mn 2.75, 4 Li 2.76
3 Mn 0.5000 0.5000 0.0000  4 Li 2.71, 2 Tl 2.75
4 Mn 0.2500 0.7500 0.5000  4 Li 2.71, 2 Tl 2.75
5 Li 0.6195 0.1250 0.2500  2 Mn 2.71, 2 Li 2.75, 2 Tl 2.76
6 Li 0.1305 0.6250 0.2500  2 Mn 2.71, 2 Li 2.75, 2 Tl 2.76
7 Li 0.3750 0.3805 0.7500  2 Mn 2.71, 2 Li 2.75, 2 Tl 2.76
8 Li 0.8750 0.8695 0.7500  2 Mn 2.71, 2 Li 2.75, 2 Tl 2.76

---

Entry 2:
# Li2MnTl

A relaxed structure of Li2MnTl (GGA-PBE, the Alexandria database).

## Properties
DFT formation energy = 0.146 eV per atom
DOS at the Fermi energy = 1.7 states/eV/cell
SG = Pmmm
energy = -14.8 eV per formula unit

Cell lengths 3.3019, 3.6423, 6.0052 Å; angles 90.00, 90.00, 90.00 degrees
Closest atoms and distances in Å follow each position.
Element x y z (fractional)
1 Li 0.0000 0.0000 0.0097  4 Mn 2.85, 2 Li 2.89-3.12, 4 Tl 2.91
2 Li 0.0000 0.0000 0.4903  4 Mn 2.85, 2 Li 2.89-3.12, 4 Tl 2.91
3 Mn 0.5000 0.5000 0.2500  8 Li 2.85, 2 Tl 3.00
4 Tl 0.5000 0.5000 0.7500  8 Li 2.91, 2 Mn 3.00